Here is a geometry-optimized KGeSbO6 structure from Alexandria. Energies are from GGA-PBE. Values from VASP.

Geometry as Quantum ESPRESSO input:
```
&SYSTEM
  ibrav = 0, nat = 9, ntyp = 4
/
ATOMIC_SPECIES
K 39.10 K.upf
Ge 72.64 Ge.upf
Sb 121.76 Sb.upf
O 16.00 O.upf
ATOMIC_POSITIONS crystal
K 0.000 0.000 0.000
Ge 0.667 0.333 0.500
Sb 0.333 0.667 0.500
O 0.376 0.014 0.675
O 0.376 0.362 0.325
O 0.638 0.014 0.325
O 0.638 0.624 0.675
O 0.986 0.362 0.675
O 0.986 0.624 0.325
CELL_PARAMETERS angstrom
5.216 0.000 0.000
-2.608 4.517 0.000
0.000 0.000 6.140
```

Results
- Space group: P312, No. 149
- Magnetic moment: 2.001 Bohr magnetons per cell
- Uncorrected formation energy: -1.17 eV per atom

Here is a geometry-optimized KGe2SbO6 structure from Alexandria. Energies are from GGA-PBE. Values from VASP.

Geometry as Quantum ESPRESSO input:
```
&SYSTEM
  ibrav = 0, nat = 20, ntyp = 4
/
ATOMIC_SPECIES
K 39.10 K.upf
Ge 72.64 Ge.upf
Sb 121.76 Sb.upf
O 16.00 O.upf
ATOMIC_POSITIONS crystal
K 0.090 0.910 0.750
K 0.910 0.090 0.250
Ge 0.173 0.367 0.770
Ge 0.367 0.173 0.270
Ge 0.633 0.827 0.730
Ge 0.827 0.633 0.230
Sb 0.296 0.704 0.250
Sb 0.704 0.296 0.750
O 0.038 0.743 0.314
O 0.162 0.597 0.879
O 0.255 0.323 0.488
O 0.257 0.962 0.186
O 0.323 0.255 0.988
O 0.403 0.838 0.621
O 0.597 0.162 0.379
O 0.677 0.745 0.012
O 0.743 0.038 0.814
O 0.745 0.677 0.512
O 0.838 0.403 0.121
O 0.962 0.257 0.686
CELL_PARAMETERS angstrom
5.503 -5.128 0.000
5.503 5.128 0.000
-1.485 0.000 5.567
```

Results
- Space group: C2/c, No. 15
- Magnetic moment: 0.000 Bohr magnetons per cell
- Uncorrected formation energy: -1.57 eV per atom

Here is a geometry-optimized KScGeO4 structure from Alexandria. Energies are from GGA-PBE. Values from VASP.

Geometry as Quantum ESPRESSO input:
```
&SYSTEM
  ibrav = 0, nat = 14, ntyp = 4
/
ATOMIC_SPECIES
K 39.10 K.upf
Sc 44.96 Sc.upf
Ge 72.64 Ge.upf
O 16.00 O.upf
ATOMIC_POSITIONS crystal
K 0.140 0.250 0.095
K 0.860 0.750 0.905
Sc 0.171 0.750 0.474
Sc 0.829 0.250 0.526
Ge 0.386 0.250 0.666
Ge 0.614 0.750 0.334
O 0.161 0.020 0.675
O 0.161 0.480 0.675
O 0.294 0.750 0.201
O 0.437 0.250 0.433
O 0.563 0.750 0.567
O 0.706 0.250 0.799
O 0.839 0.520 0.325
O 0.839 0.980 0.325
CELL_PARAMETERS angstrom
5.423 0.000 0.000
0.000 5.720 0.000
-1.825 0.000 6.974
```

Results
- Space group: P2_1/m, No. 11
- Magnetic moment: 0.000 Bohr magnetons per cell
- Uncorrected formation energy: -2.32 eV per atom

Here is a geometry-optimized K2ScGe2O6 structure from Alexandria. Energies are from GGA-PBE. Values from VASP.

Geometry as Quantum ESPRESSO input:
```
&SYSTEM
  ibrav = 0, nat = 11, ntyp = 4
/
ATOMIC_SPECIES
K 39.10 K.upf
Sc 44.96 Sc.upf
Ge 72.64 Ge.upf
O 16.00 O.upf
ATOMIC_POSITIONS crystal
K 0.206 0.206 0.166
K 0.794 0.794 0.834
Sc 0.000 0.000 0.500
Ge 0.442 0.442 0.773
Ge 0.558 0.558 0.227
O 0.224 0.723 0.253
O 0.242 0.242 0.642
O 0.277 0.776 0.747
O 0.723 0.224 0.253
O 0.758 0.758 0.358
O 0.776 0.277 0.747
CELL_PARAMETERS angstrom
5.037 -2.949 0.000
5.037 2.949 0.000
-3.413 0.000 5.772
```

Results
- Space group: C2/m, No. 12
- Magnetic moment: 0.900 Bohr magnetons per cell
- Uncorrected formation energy: -1.99 eV per atom

Here is a geometry-optimized KGeSe2O8 structure from Alexandria. Energies are from GGA-PBE. Values from VASP.

Geometry as Quantum ESPRESSO input:
```
&SYSTEM
  ibrav = 0, nat = 12, ntyp = 4
/
ATOMIC_SPECIES
K 39.10 K.upf
Ge 72.64 Ge.upf
Se 78.96 Se.upf
O 16.00 O.upf
ATOMIC_POSITIONS crystal
K 0.000 0.000 0.000
Ge 0.500 0.500 0.500
Se 0.196 0.196 0.619
Se 0.804 0.804 0.381
O 0.117 0.629 0.297
O 0.148 0.148 0.375
O 0.371 0.883 0.703
O 0.379 0.379 0.710
O 0.621 0.621 0.290
O 0.629 0.117 0.297
O 0.852 0.852 0.625
O 0.883 0.371 0.703
CELL_PARAMETERS angstrom
4.951 -2.827 0.000
4.951 2.827 0.000
-2.228 0.000 6.622
```

Results
- Space group: C2/m, No. 12
- Magnetic moment: 0.000 Bohr magnetons per cell
- Uncorrected formation energy: -0.85 eV per atom

Here is a geometry-optimized K4GeSe4O4 structure from Alexandria. Energies are from GGA-PBE. Values from VASP.

Geometry as Quantum ESPRESSO input:
```
&SYSTEM
  ibrav = 0, nat = 26, ntyp = 4
/
ATOMIC_SPECIES
K 39.10 K.upf
Ge 72.64 Ge.upf
Se 78.96 Se.upf
O 16.00 O.upf
ATOMIC_POSITIONS crystal
K 0.010 0.425 0.185
K 0.062 0.297 0.507
K 0.258 0.115 0.289
K 0.326 0.205 0.997
K 0.674 0.795 0.003
K 0.742 0.885 0.711
K 0.938 0.703 0.493
K 0.990 0.575 0.815
Ge 0.452 0.791 0.240
Ge 0.548 0.209 0.760
Se 0.180 0.798 0.089
Se 0.328 0.942 0.788
Se 0.371 0.760 0.432
Se 0.435 0.445 0.784
Se 0.565 0.555 0.216
Se 0.629 0.240 0.568
Se 0.672 0.058 0.212
Se 0.820 0.202 0.911
O 0.076 0.852 0.701
O 0.180 0.570 0.403
O 0.257 0.901 0.438
O 0.343 0.376 0.178
O 0.657 0.624 0.822
O 0.743 0.099 0.562
O 0.820 0.430 0.597
O 0.924 0.148 0.299
CELL_PARAMETERS angstrom
7.462 0.000 0.000
-2.838 8.136 0.000
-3.689 -1.528 11.935
```

Results
- Space group: P-1, No. 2
- Magnetic moment: 0.000 Bohr magnetons per cell
- Uncorrected formation energy: -1.00 eV per atom

Here is a geometry-optimized K2Si6GeO15 structure from Alexandria. Energies are from GGA-PBE. Values from VASP.

Geometry as Quantum ESPRESSO input:
```
&SYSTEM
  ibrav = 0, nat = 48, ntyp = 4
/
ATOMIC_SPECIES
K 39.10 K.upf
Si 28.09 Si.upf
Ge 72.64 Ge.upf
O 16.00 O.upf
ATOMIC_POSITIONS crystal
K 0.068 0.932 0.500
K 0.356 0.720 0.812
K 0.720 0.356 0.312
K 0.932 0.068 0.000
Si 0.190 0.266 0.220
Si 0.198 0.340 0.525
Si 0.266 0.190 0.720
Si 0.279 0.839 0.235
Si 0.340 0.198 0.025
Si 0.438 0.544 0.041
Si 0.544 0.438 0.541
Si 0.710 0.738 0.043
Si 0.738 0.710 0.543
Si 0.744 0.917 0.752
Si 0.839 0.279 0.735
Si 0.917 0.744 0.252
Ge 0.040 0.542 0.886
Ge 0.542 0.040 0.386
O 0.086 0.111 0.713
O 0.111 0.086 0.213
O 0.144 0.746 0.262
O 0.175 0.275 0.933
O 0.210 0.266 0.113
O 0.211 0.413 0.787
O 0.256 0.624 0.953
O 0.266 0.210 0.613
O 0.275 0.175 0.433
O 0.297 0.509 0.553
O 0.367 0.698 0.138
O 0.413 0.211 0.287
O 0.478 0.819 0.315
O 0.479 0.936 0.006
O 0.493 0.984 0.752
O 0.509 0.297 0.053
O 0.535 0.660 0.528
O 0.624 0.256 0.453
O 0.660 0.535 0.028
O 0.689 0.894 0.489
O 0.698 0.367 0.638
O 0.746 0.144 0.762
O 0.768 0.815 0.153
O 0.807 0.907 0.340
O 0.815 0.768 0.653
O 0.819 0.478 0.815
O 0.894 0.689 0.989
O 0.907 0.807 0.840
O 0.936 0.479 0.506
O 0.984 0.493 0.252
CELL_PARAMETERS angstrom
6.374 -3.648 0.000
6.374 3.648 0.000
-4.343 0.000 14.375
```

Results
- Space group: Cc, No. 9
- Magnetic moment: 0.000 Bohr magnetons per cell
- Uncorrected formation energy: -2.57 eV per atom

Here is a geometry-optimized K4Sm3GeO8 structure from Alexandria. Energies are from GGA-PBE. Values from VASP.

Geometry as Quantum ESPRESSO input:
```
&SYSTEM
  ibrav = 0, nat = 16, ntyp = 4
/
ATOMIC_SPECIES
K 39.10 K.upf
Sm 150.36 Sm.upf
Ge 72.64 Ge.upf
O 16.00 O.upf
ATOMIC_POSITIONS crystal
K 0.000 0.000 0.000
K 0.000 0.500 0.500
K 0.500 0.000 0.500
K 0.500 0.500 0.000
Sm 0.000 0.000 0.500
Sm 0.000 0.500 0.000
Sm 0.500 0.000 0.000
Ge 0.500 0.500 0.500
O 0.230 0.230 0.230
O 0.244 0.721 0.721
O 0.279 0.279 0.756
O 0.279 0.756 0.279
O 0.721 0.244 0.721
O 0.721 0.721 0.244
O 0.756 0.279 0.279
O 0.770 0.770 0.770
CELL_PARAMETERS angstrom
3.510 2.027 6.276
-3.510 2.027 6.276
0.000 -4.053 6.276
```

Results
- Space group: R-3m, No. 166
- Magnetic moment: 0.000 Bohr magnetons per cell
- Uncorrected formation energy: -2.26 eV per atom

Which value of magnetic moment does entry 7 give? 0.000 Bohr magnetons per cell

Which of these has the lowest uncorrected formation energy? K2Si6GeO15